{
  "formula": "Mg2SnO4",
  "functional": "PBE",
  "state": "relaxed",
  "lattice_angstrom": [[-3.0595, 3.1486, 4.3526], [3.0595, -3.1486, 4.3526], [3.0595, 3.1486, -4.3526]],
  "species": ["Mg", "Mg", "Mg", "Mg", "Sn", "Sn", "O", "O", "O", "O", "O", "O", "O", "O"],
  "frac_coords": [[0.0000, 0.0000, 0.5000], [0.0000, 0.5000, 0.0000], [0.3877, 0.1377, 0.2500], [0.6123, 0.8623, 0.7500], [0.0000, 0.5000, 0.5000], [0.5000, 0.5000, 0.0000], [0.2178, 0.7359, 0.4818], [0.2461, 0.2616, 0.5155], [0.2459, 0.2641, 0.9818], [0.2461, 0.7307, 0.9845], [0.7539, 0.2693, 0.0155], [0.7541, 0.7359, 0.0182], [0.7539, 0.7384, 0.4845], [0.7822, 0.2641, 0.5182]],
  "m_tot_mub_per_fu": 0.00,
  "de_polymorph_ev_per_atom": 0.008,
  "space_group": "Imma, No. 74",
  "crystal_system": "orthorhombic",
  "e_tot_ev_per_cell": -85.90
}